First-principles (GGA-PBE) data for crystalline CePmSbAs at its relaxed geometry, as listed in Alexandria.

Results
Electronic total energy in eV/atom: -6.151
M_tot in Bohr magnetons per cell: 0.7
Crystal system: trigonal
Uncorrected formation energy in eV/atom: -1.287
Density of states at the Fermi level in states/eV per cell: 6.11
Space group: R3m
V in Å³/f.u.: 117
ρ in g/cm³: 6.83

The structure in POSCAR format:
```
CePmSbAs
1.0
-2.814 2.747 -1.844
-4.234 -0.965 -0.090
-3.239 3.909 5.650
Ce Pm Sb As
1 1 1 1
Direct
0.994 0.994 0.017
0.506 0.506 0.483
0.749 0.749 0.752
0.251 0.251 0.247
```